! TaFeHg2F, optimized geometry, DFT GGA+U; values from VASP
! Total magnetic moment ... 2.54 Bohr magnetons per cell
! SG ... No. 123
! Uncorrected energy ... -3.08 eV/atom
&SYSTEM
  ibrav = 0, nat = 5, ntyp = 4
/
ATOMIC_SPECIES
Ta 180.95 Ta.upf
Fe 55.84 Fe.upf
Hg 200.59 Hg.upf
F 19.00 F.upf
CELL_PARAMETERS angstrom
5.4469 0.0000 0.0000
0.0000 5.4469 0.0000
0.0000 0.0000 4.9752
ATOMIC_POSITIONS crystal
Ta 0.0000 0.0000 0.0000
Fe 0.0000 0.0000 0.5000
Hg 0.0000 0.5000 0.0000
Hg 0.5000 0.0000 0.0000
F 0.5000 0.5000 0.5000